Record 1
VASP calculation (PBE) on an optimized crystal structure of Ge2Te2IrSe2.

Cell: 3.864 6.036 8.926 Å, 68.22 90.29 71.34°
Sites, in units of the cell vectors:
Se: 0.805 0.397 0.381
Se: 0.195 0.603 0.619
Ge: 0.228 0.545 0.187
Ge: 0.772 0.455 0.813
Ir: 0.000 0.000 0.000
Te: 0.534 0.928 0.818
Te: 0.466 0.072 0.182

## Properties
* N(E_F): 0.441 states/eV/atom
* crystal system: triclinic
* calculated total energy: -4.69 eV/atom
* V: 181.3 Å³/cell

***

Record 2
VASP calculation (PBE) on an optimized crystal structure of Th6GeIr3Se2.

Cell: 4.136 8.740 9.606 Å, 107.06 102.43 90.00°
Sites, in units of the cell vectors:
Se: 0.832 0.663 0.663
Se: 0.168 0.337 0.337
Th: 0.330 0.934 0.660
Th: 0.341 0.399 0.682
Th: 0.007 0.741 0.015
Th: 0.670 0.066 0.340
Th: 0.659 0.601 0.318
Th: 0.993 0.259 0.985
Ir: 0.500 0.500 0.000
Ir: 0.168 0.833 0.337
Ir: 0.832 0.167 0.663
Ge: 0.500 0.000 0.000

## Properties
* N(E_F): 0.722 states/eV/atom
* crystal system: monoclinic
* calculated total energy: -8.04 eV/atom
* V: 323.4 Å³/cell